1.
# Nd8SmTm6 | the Alexandria database | PBE | optimized geometry
# ΔE to the lowest computed polymorph: 0.000 eV per atom
data_Nd8SmTm6
_chemical_formula_sum 'Nd8 Sm1 Tm6'
_symmetry_space_group_name_H-M 'P 1'
_symmetry_Int_Tables_number 1
_symmetry_space_group_name_Hall 'P 1'
_cell_length_a 9.2496
_cell_length_b 9.2496
_cell_length_c 8.6368
_cell_angle_alpha 57.62
_cell_angle_beta 57.62
_cell_angle_gamma 60.00
loop_
_atom_site_label
_atom_site_fract_x
_atom_site_fract_y
_atom_site_fract_z
_atom_site_occupancy
Nd1 0.3329 0.2277 0.5260 1
Nd2 0.7723 0.0865 0.4740 1
Nd3 0.0865 0.6671 0.4740 1
Nd4 0.5737 0.5737 0.2790 1
Nd5 0.4263 0.4263 0.7210 1
Nd6 0.9135 0.3329 0.5260 1
Nd7 0.2277 0.9135 0.5260 1
Nd8 0.6671 0.7723 0.4740 1
Sm1 0.0000 0.0000 0.0000 1
Tm1 0.4484 0.8917 0.9191 1
Tm2 0.1083 0.2592 0.0809 1
Tm3 0.2592 0.5516 0.0809 1
Tm4 0.7408 0.4484 0.9191 1
Tm5 0.8917 0.7408 0.9191 1
Tm6 0.5516 0.1083 0.0809 1

---

2.
# Nd2Sm7Tm3 | the Alexandria database | PBE | optimized geometry
# ΔE to the lowest computed polymorph: 0.048 eV per atom
data_Nd2Sm7Tm3
_chemical_formula_sum 'Nd2 Sm7 Tm3'
_symmetry_space_group_name_H-M 'P 1'
_symmetry_Int_Tables_number 1
_symmetry_space_group_name_Hall 'P 1'
_cell_length_a 3.6400
_cell_length_b 5.7681
_cell_length_c 19.2879
_cell_angle_alpha 98.60
_cell_angle_beta 90.00
_cell_angle_gamma 90.00
loop_
_atom_site_label
_atom_site_fract_x
_atom_site_fract_y
_atom_site_fract_z
_atom_site_occupancy
Nd1 0.0000 0.8516 0.7032 1
Nd2 0.0000 0.1484 0.2968 1
Sm1 0.0000 0.4095 0.8190 1
Sm2 0.0000 0.7685 0.5371 1
Sm3 0.0000 0.0000 0.0000 1
Sm4 0.0000 0.5905 0.1810 1
Sm5 0.5000 0.0713 0.1427 1
Sm6 0.5000 0.9287 0.8573 1
Sm7 0.0000 0.2315 0.4629 1
Tm1 0.5000 0.5000 0.0000 1
Tm2 0.5000 0.6856 0.3712 1
Tm3 0.5000 0.3144 0.6288 1

---

3.
# Nd2Sm5Tm3 | the Alexandria database | PBE | optimized geometry
# ΔE to the lowest computed polymorph: 0.196 eV per atom
data_Nd2Sm5Tm3
_chemical_formula_sum 'Nd4 Sm10 Tm6'
_symmetry_space_group_name_H-M 'P 1'
_symmetry_Int_Tables_number 1
_symmetry_space_group_name_Hall 'P 1'
_cell_length_a 6.8348
_cell_length_b 12.3836
_cell_length_c 12.3836
_cell_angle_alpha 44.71
_cell_angle_beta 73.98
_cell_angle_gamma 73.98
loop_
_atom_site_label
_atom_site_fract_x
_atom_site_fract_y
_atom_site_fract_z
_atom_site_occupancy
Nd1 0.1225 0.7767 0.9784 1
Nd2 0.8775 0.2233 0.0216 1
Nd3 0.6225 0.9784 0.7767 1
Nd4 0.3775 0.0216 0.2233 1
Sm1 0.2500 0.5000 0.5000 1
Sm2 0.7500 0.5000 0.5000 1
Sm3 0.4986 0.7514 0.7514 1
Sm4 0.0014 0.2486 0.2486 1
Sm5 0.5014 0.2486 0.2486 1
Sm6 0.9986 0.7514 0.7514 1
Sm7 0.1260 0.4670 0.2811 1
Sm8 0.8740 0.5330 0.7189 1
Sm9 0.6260 0.2811 0.4670 1
Sm10 0.3740 0.7189 0.5330 1
Tm1 0.2500 0.0000 0.0000 1
Tm2 0.7500 0.0000 0.0000 1
Tm3 0.3798 0.3680 0.8725 1
Tm4 0.6202 0.6320 0.1275 1
Tm5 0.8798 0.8725 0.3680 1
Tm6 0.1202 0.1275 0.6320 1

---

4.
A geometry-optimized NdSm3Tm8 structure, computed with PBE.

```
data_NdSm3Tm8
_chemical_formula_sum 'Nd1 Sm3 Tm8'
_symmetry_space_group_name_H-M 'P 1'
_symmetry_Int_Tables_number 1
_symmetry_space_group_name_Hall 'P 1'
_cell_length_a 8.4038
_cell_length_b 8.4038
_cell_length_c 8.4112
_cell_angle_alpha 96.06
_cell_angle_beta 99.90
_cell_angle_gamma 136.23
loop_
_atom_site_label
_atom_site_fract_x
_atom_site_fract_y
_atom_site_fract_z
_atom_site_occupancy
Nd1 0.8354 0.8354 0.0000 1
Sm1 0.4981 0.7483 0.2501 1
Sm2 0.4982 0.2480 0.7499 1
Sm3 0.8348 0.3348 0.5000 1
Tm1 0.4997 0.3317 0.1683 1
Tm2 0.4984 0.8314 0.6673 1
Tm3 0.1641 0.8311 0.3327 1
Tm4 0.1633 0.3313 0.8317 1
Tm5 0.1696 0.2527 0.4184 1
Tm6 0.8343 0.2523 0.0826 1
Tm7 0.1697 0.7517 0.9174 1
Tm8 0.8343 0.7513 0.5816 1
```

---

5.
# Nd2Sm5Tm3 | the Alexandria database | PBE | optimized geometry
# ΔE to the lowest computed polymorph: 0.000 eV per atom
data_Nd2Sm5Tm3
_chemical_formula_sum 'Nd4 Sm10 Tm6'
_symmetry_space_group_name_H-M 'P 1'
_symmetry_Int_Tables_number 1
_symmetry_space_group_name_Hall 'P 1'
_cell_length_a 9.5389
_cell_length_b 9.6047
_cell_length_c 11.1809
_cell_angle_alpha 125.67
_cell_angle_beta 125.54
_cell_angle_gamma 68.89
loop_
_atom_site_label
_atom_site_fract_x
_atom_site_fract_y
_atom_site_fract_z
_atom_site_occupancy
Nd1 0.7847 0.0188 0.7540 1
Nd2 0.2153 0.9812 0.2460 1
Nd3 0.4693 0.7353 0.7540 1
Nd4 0.5307 0.2647 0.2460 1
Sm1 0.2825 0.5325 0.0651 1
Sm2 0.7175 0.4675 0.9349 1
Sm3 0.0185 0.7685 0.5370 1
Sm4 0.5206 0.2706 0.5413 1
Sm5 0.9815 0.2315 0.4630 1
Sm6 0.4794 0.7294 0.4587 1
Sm7 0.8717 0.6160 0.7707 1
Sm8 0.1283 0.3840 0.2293 1
Sm9 0.3990 0.1547 0.7707 1
Sm10 0.6010 0.8453 0.2293 1
Tm1 0.2247 0.9747 0.9494 1
Tm2 0.7753 0.0253 0.0506 1
Tm3 0.7316 0.4599 0.2370 1
Tm4 0.2684 0.5401 0.7630 1
Tm5 0.0055 0.7772 0.2370 1
Tm6 0.9945 0.2228 0.7630 1

---

6.
# Nd4Sm3Tm | the Alexandria database | PBE | optimized geometry
# ΔE to the lowest computed polymorph: 0.000 eV per atom
data_Nd4Sm3Tm
_chemical_formula_sum 'Nd8 Sm6 Tm2'
_symmetry_space_group_name_H-M 'P 1'
_symmetry_Int_Tables_number 1
_symmetry_space_group_name_Hall 'P 1'
_cell_length_a 6.3598
_cell_length_b 7.3622
_cell_length_c 11.7368
_cell_angle_alpha 90.00
_cell_angle_beta 90.00
_cell_angle_gamma 90.00
loop_
_atom_site_label
_atom_site_fract_x
_atom_site_fract_y
_atom_site_fract_z
_atom_site_occupancy
Nd1 0.1512 0.8741 0.0000 1
Nd2 0.6450 0.1261 0.0000 1
Nd3 0.9820 0.1279 0.2469 1
Nd4 0.4820 0.8721 0.2531 1
Nd5 0.1450 0.8739 0.5000 1
Nd6 0.6512 0.1259 0.5000 1
Nd7 0.4820 0.8721 0.7469 1
Nd8 0.9820 0.1279 0.7531 1
Sm1 0.6484 0.6243 0.0000 1
Sm2 0.9797 0.6228 0.2499 1
Sm3 0.4797 0.3772 0.2501 1
Sm4 0.1484 0.3757 0.5000 1
Sm5 0.4797 0.3772 0.7499 1
Sm6 0.9797 0.6228 0.7501 1
Tm1 0.1472 0.3783 0.0000 1
Tm2 0.6472 0.6217 0.5000 1

---

7.
# Nd3SmTm3 | the Alexandria database | PBE | optimized geometry
# ΔE to the lowest computed polymorph: 0.172 eV per atom
data_Nd3SmTm3
_chemical_formula_sum 'Nd6 Sm2 Tm6'
_symmetry_space_group_name_H-M 'P 1'
_symmetry_Int_Tables_number 1
_symmetry_space_group_name_Hall 'P 1'
_cell_length_a 8.8937
_cell_length_b 8.8937
_cell_length_c 8.8937
_cell_angle_alpha 58.45
_cell_angle_beta 58.45
_cell_angle_gamma 58.45
loop_
_atom_site_label
_atom_site_fract_x
_atom_site_fract_y
_atom_site_fract_z
_atom_site_occupancy
Nd1 0.7178 0.5657 0.0720 1
Nd2 0.0720 0.7178 0.5657 1
Nd3 0.5657 0.0720 0.7178 1
Nd4 0.4343 0.9280 0.2822 1
Nd5 0.9280 0.2822 0.4343 1
Nd6 0.2822 0.4343 0.9280 1
Sm1 0.3436 0.3436 0.3436 1
Sm2 0.6564 0.6564 0.6564 1
Tm1 0.7168 0.1727 0.9365 1
Tm2 0.1727 0.9365 0.7168 1
Tm3 0.9365 0.7168 0.1727 1
Tm4 0.0635 0.2832 0.8273 1
Tm5 0.8273 0.0635 0.2832 1
Tm6 0.2832 0.8273 0.0635 1

---

8.
# Nd6Sm4Tm | the Alexandria database | PBE | optimized geometry
# ΔE to the lowest computed polymorph: 0.000 eV per atom
data_Nd6Sm4Tm
_chemical_formula_sum 'Nd6 Sm4 Tm1'
_symmetry_space_group_name_H-M 'P 1'
_symmetry_Int_Tables_number 1
_symmetry_space_group_name_Hall 'P 1'
_cell_length_a 6.7737
_cell_length_b 6.7737
_cell_length_c 9.7423
_cell_angle_alpha 110.34
_cell_angle_beta 110.34
_cell_angle_gamma 90.00
loop_
_atom_site_label
_atom_site_fract_x
_atom_site_fract_y
_atom_site_fract_z
_atom_site_occupancy
Nd1 0.8662 0.4872 0.3534 1
Nd2 0.4872 0.8662 0.3534 1
Nd3 0.5128 0.5128 0.6466 1
Nd4 0.0000 0.5000 0.0000 1
Nd5 0.1338 0.1338 0.6466 1
Nd6 0.5000 0.0000 0.0000 1
Sm1 0.0541 0.7021 0.7562 1
Sm2 0.9459 0.9459 0.2438 1
Sm3 0.7021 0.0541 0.7562 1
Sm4 0.2979 0.2979 0.2438 1
Tm1 0.5000 0.5000 0.0000 1

---

9.
# Nd2SmTm2 | the Alexandria database | PBE | optimized geometry
# ΔE to the lowest computed polymorph: 0.275 eV per atom
data_Nd2SmTm2
_chemical_formula_sum 'Nd4 Sm2 Tm4'
_symmetry_space_group_name_H-M 'P 1'
_symmetry_Int_Tables_number 1
_symmetry_space_group_name_Hall 'P 1'
_cell_length_a 8.9987
_cell_length_b 8.9987
_cell_length_c 6.0576
_cell_angle_alpha 117.66
_cell_angle_beta 117.66
_cell_angle_gamma 96.40
loop_
_atom_site_label
_atom_site_fract_x
_atom_site_fract_y
_atom_site_fract_z
_atom_site_occupancy
Nd1 0.7612 0.6072 0.4938 1
Nd2 0.3928 0.2388 0.0062 1
Nd3 0.6072 0.7612 0.9938 1
Nd4 0.2388 0.3928 0.5062 1
Sm1 0.0664 0.9336 0.2500 1
Sm2 0.9336 0.0664 0.7500 1
Tm1 0.3319 0.6681 0.2500 1
Tm2 0.8019 0.1981 0.2500 1
Tm3 0.1981 0.8019 0.7500 1
Tm4 0.6681 0.3319 0.7500 1

---

10.
# Nd2Sm4Tm5 | the Alexandria database | PBE | optimized geometry
# ΔE to the lowest computed polymorph: 0.000 eV per atom
data_Nd2Sm4Tm5
_chemical_formula_sum 'Nd2 Sm4 Tm5'
_symmetry_space_group_name_H-M 'P 1'
_symmetry_Int_Tables_number 1
_symmetry_space_group_name_Hall 'P 1'
_cell_length_a 3.5727
_cell_length_b 8.5871
_cell_length_c 14.4299
_cell_angle_alpha 90.65
_cell_angle_beta 125.84
_cell_angle_gamma 89.46
loop_
_atom_site_label
_atom_site_fract_x
_atom_site_fract_y
_atom_site_fract_z
_atom_site_occupancy
Nd1 0.9489 0.6494 0.9000 1
Nd2 0.0511 0.3506 0.1000 1
Sm1 0.0668 0.2047 0.5283 1
Sm2 0.2445 0.7459 0.1788 1
Sm3 0.9332 0.7953 0.4717 1
Sm4 0.7555 0.2541 0.8212 1
Tm1 0.8419 0.5265 0.6484 1
Tm2 0.1581 0.4735 0.3516 1
Tm3 0.0177 0.9277 0.7146 1
Tm4 0.5000 0.0000 0.0000 1
Tm5 0.9823 0.0723 0.2854 1

---

11.
# Nd4Sm2Tm5 | the Alexandria database | PBE | optimized geometry
# ΔE to the lowest computed polymorph: 0.017 eV per atom
data_Nd4Sm2Tm5
_chemical_formula_sum 'Nd4 Sm2 Tm5'
_symmetry_space_group_name_H-M 'P 1'
_symmetry_Int_Tables_number 1
_symmetry_space_group_name_Hall 'P 1'
_cell_length_a 3.5330
_cell_length_b 8.6539
_cell_length_c 14.4489
_cell_angle_alpha 122.70
_cell_angle_beta 97.02
_cell_angle_gamma 90.00
loop_
_atom_site_label
_atom_site_fract_x
_atom_site_fract_y
_atom_site_fract_z
_atom_site_occupancy
Nd1 0.5896 0.4821 0.1792 1
Nd2 0.0410 0.7421 0.0820 1
Nd3 0.4104 0.5179 0.8208 1
Nd4 0.9590 0.2579 0.9180 1
Sm1 0.7250 0.6231 0.4501 1
Sm2 0.2750 0.3769 0.5499 1
Tm1 0.1874 0.9025 0.3747 1
Tm2 0.8126 0.0975 0.6253 1
Tm3 0.1308 0.2130 0.2616 1
Tm4 0.5000 0.0000 0.0000 1
Tm5 0.8692 0.7870 0.7384 1

---

12.
# Nd3Sm3Tm | the Alexandria database | PBE | optimized geometry
# ΔE to the lowest computed polymorph: 0.202 eV per atom
data_Nd3Sm3Tm
_chemical_formula_sum 'Nd6 Sm6 Tm2'
_symmetry_space_group_name_H-M 'P 1'
_symmetry_Int_Tables_number 1
_symmetry_space_group_name_Hall 'P 1'
_cell_length_a 8.9469
_cell_length_b 8.9469
_cell_length_c 8.9469
_cell_angle_alpha 58.63
_cell_angle_beta 58.63
_cell_angle_gamma 58.63
loop_
_atom_site_label
_atom_site_fract_x
_atom_site_fract_y
_atom_site_fract_z
_atom_site_occupancy
Nd1 0.7048 0.1829 0.9373 1
Nd2 0.1829 0.9373 0.7048 1
Nd3 0.9373 0.7048 0.1829 1
Nd4 0.0627 0.2952 0.8171 1
Nd5 0.8171 0.0627 0.2952 1
Nd6 0.2952 0.8171 0.0627 1
Sm1 0.7213 0.5673 0.0683 1
Sm2 0.0683 0.7213 0.5673 1
Sm3 0.5673 0.0683 0.7213 1
Sm4 0.4327 0.9317 0.2787 1
Sm5 0.9317 0.2787 0.4327 1
Sm6 0.2787 0.4327 0.9317 1
Tm1 0.3455 0.3455 0.3455 1
Tm2 0.6545 0.6545 0.6545 1

---

Ordered DFT formation energy results: 0.16, 0.12, 0.39, 0.01, 0.19, 0.03, 0.19, 0.28, 0.28, 0.05, 0.12, 0.23; unit eV per atom.
Ordered DOS at the Fermi energy results: 22.5, 18.8, 14.0, 22.3, 17.6, 14.0, 10.0, 17.0, 6.6, 18.2, 17.1, 10.0; unit states/eV/f.u..
Ordered size of the total moment results: 0.0, 0.0, 0.0, 0.0, 0.0, 0.0, 0.0, 0.0, 0.0, 0.0, 0.0, 0.0; unit μB per cell.